TaVO2F after structural relaxation, computed with PBE with a Hubbard U.

Output
* crystal system: tetragonal
* symmetry: P4/mmm
* total magnetization: 4.96 μB/f.u.
* uncorrected energy: -35.646 eV/cell

a = 3.993 Å, b = 3.993 Å, c = 3.850 Å
α = 90.00°, β = 90.00°, γ = 90.00°
Site moments in Bohr magnetons follow the coordinates.
Positions (direct):
F: 0.000 0.000 0.500  0.08
O: 0.500 0.000 0.000  -0.05
O: 0.000 0.500 0.000  -0.05
V: 0.000 0.000 0.000  2.06
Ta: 0.500 0.500 0.500  2.02